(1)
Entry from Alexandria: an optimized crystal structure of RbLiAl2 (PBE-GGA).

Results
The excess energy over the best structure of this formula in the dataset comes out at 0 meV/atom.

a = 5.029 Å, b = 5.029 Å, c = 20.980 Å
α = 90.00°, β = 90.00°, γ = 90.00°
Space group I-42d (No. 122)
Symmetry-distinct sites (fractional):
Rb 0.000 0.000 0.000 x4
Li 0.000 0.000 0.500 x4
Al 0.062 0.250 0.625 x8

=====

(2)
Entry from Alexandria: an optimized crystal structure of NpP3Ru5 (PBE-GGA).

a = 2.937 Å, b = 12.768 Å, c = 14.321 Å
α = 90.00°, β = 90.00°, γ = 90.00°
Space group Cmcm (No. 63)
Symmetry-distinct sites (fractional):
Np 0.000 0.172 0.250 x4
P 0.000 0.128 0.750 x4
P 0.000 0.370 0.559 x8
Ru 0.000 0.000 0.000 x4
Ru 0.000 0.197 0.576 x8
Ru 0.000 0.476 0.157 x8

=====

(3)
Entry from Alexandria: an optimized crystal structure of TiV2Fe (PBE-GGA).

a = 3.456 Å, b = 3.456 Å, c = 4.471 Å
α = 90.00°, β = 90.00°, γ = 90.00°
Space group P4/mmm (No. 123)
Symmetry-distinct sites (fractional):
Ti 0.000 0.000 0.000 x1
V 0.000 0.500 0.500 x2
Fe 0.500 0.500 0.000 x1

=====

Summary of E_form in eV/f.u.
1.463; -2.899; 0.000
(order as listed above)